(1)
First-principles (GGA-PBEsol) data for an optimized crystal structure of NaTiTeI2, as listed in the Alexandria database.

Values from the calculation:
M_tot   1.00 μB/cell
Theoretical density   4.4 Mg/m³
DFT total energy   -19.72 eV/cell
DOS(E_F)   3.0 states/eV/f.u.

Lattice parameters (Å, degrees): 5.6582 5.6582 5.2968 90.00 90.00 90.00
Closest atoms and distances in Å follow each position.
Element x y z (fractional)
Na (0.0000, 0.0000, 0.0000)  8 I 3.88, 4 Te 4.00
Ti (0.5000, 0.5000, 0.5000)  2 Te 2.65, 4 I 2.83
Te (0.5000, 0.5000, 0.0000)  2 Ti 2.65
I (0.0000, 0.5000, 0.5000)  2 Ti 2.83
I (0.5000, 0.0000, 0.5000)  2 Ti 2.83

=====

(2)
First-principles (GGA-PBEsol) data for an optimized crystal structure of NaW2I2, as listed in the Alexandria database.

Values from the calculation:
M_tot   0.02 μB/cell
Theoretical density   8.8 Mg/m³
DFT total energy   -27.36 eV/cell
DOS(E_F)   6.0 states/eV/f.u.

Lattice parameters (Å, degrees): 5.8859 5.8859 5.8859 128.57 128.57 75.70
Closest atoms and distances in Å follow each position.
Element x y z (fractional)
Na (0.0000, 0.0000, 0.0000)  8 I 3.45, 10 W 3.50-3.79
W (0.3763, 0.3763, 0.0000)  1 W 2.30
W (0.6237, 0.6237, 0.0000)  1 W 2.30
I (0.2500, 0.7500, 0.5000)  4 W 2.81
I (0.7500, 0.2500, 0.5000)  4 W 2.81

=====

no.,E_form (uncorrected) (meV/atom)
1,-587
2,1037